Computed, not measured: Li2CaFe after structural relaxation at the PBE level of DFT.

```
Li2CaFe
1.0
5.513 0.200 0.000
2.162 5.075 0.000
-3.837 -2.638 2.958
Li Fe Ca
2 1 1
Cartesian
3.837 2.638 0.000
0.000 0.000 0.000
2.756 0.100 1.479
1.081 2.538 1.479
```

Calculated values
ΔE_f, eV/atom: 0.435
Polymorph energy (0 for the lowest one), meV per atom: 83
Total magnetic moment, μB per formula unit: 2.293
Uncorrected energy, eV per cell: -12.55
Crystal system: tetragonal
Volume, A^3/atom: 20.37



Computed, not measured: Sr3LiPd after structural relaxation at the PBE level of DFT.

```
Sr3LiPd
1.0
-3.658 0.987 3.528
-1.204 -2.576 -4.326
3.989 -16.617 8.784
Pd Sr Li
2 6 2
Cartesian
0.970 -13.851 4.880
-1.842 -4.355 3.106
-1.220 -6.950 4.477
2.992 -12.463 6.588
1.593 -16.446 6.252
-2.465 -1.760 1.734
0.997 -4.154 2.196
0.347 -11.256 3.508
1.995 -8.309 4.392
0.000 0.000 0.000
```

Calculated values
ΔE_f, eV/atom: -0.055
Polymorph energy (0 for the lowest one), meV per atom: 221
Total magnetic moment, μB per formula unit: 0.000
Uncorrected energy, eV per cell: -24.85
Crystal system: hexagonal
Volume, A^3/atom: 44.59



Computed, not measured: ZrNb2AsO after structural relaxation at the PBE level of DFT.

```
ZrNb2AsO
1.0
5.008 0.000 0.000
0.000 4.955 0.000
0.000 0.000 5.008
As O Zr Nb
1 1 1 2
Cartesian
0.000 2.477 0.000
2.504 2.477 2.504
0.000 0.000 0.000
2.504 0.000 0.000
0.000 0.000 2.504
```

Calculated values
Raw formation energy, eV per formula unit: 8.7
Total magnetic moment, μB per formula unit: 1.026
Uncorrected energy, eV per cell: -29.56
Crystal system: tetragonal
Volume, A^3/atom: 24.85



Computed, not measured: SmGa5Pt7 after structural relaxation at the PBE level of DFT.

```
SmGa5Pt7
1.0
-2.605 -2.007 4.266
-3.256 -5.895 -1.361
3.937 -4.074 3.888
Pt Ga Sm
7 5 1
Cartesian
-1.069 -6.810 6.345
-0.387 -7.382 3.091
-0.557 -2.809 1.738
1.089 -5.307 4.969
-3.370 -7.393 4.665
-3.134 -6.377 1.887
-1.461 -4.780 3.660
1.875 -2.016 1.930
0.599 -3.000 4.021
-1.599 -2.896 -0.605
-2.875 -3.879 1.486
-1.362 -9.179 5.051
-2.580 -2.066 4.253
```

Calculated values
ΔE_f, eV/atom: -0.641
Total magnetic moment, μB per formula unit: 0.000
Uncorrected energy, eV per cell: -70.48
Crystal system: orthorhombic
Volume, A^3/atom: 16.55



Computed, not measured: Be2PPb after structural relaxation at the PBE level of DFT.

```
Be2PPb
1.0
6.432 0.036 0.000
4.676 4.418 0.000
-5.533 -2.279 2.360
Be P Pb
2 1 1
Cartesian
0.279 0.112 0.000
2.057 -0.477 1.180
5.900 2.365 0.000
2.892 2.401 1.180
```

Calculated values
ΔE_f, eV/atom: 0.279
Polymorph energy (0 for the lowest one), meV per atom: 133
Total magnetic moment, μB per formula unit: 0.000
Uncorrected energy, eV per cell: -15.45
Crystal system: orthorhombic
Volume, A^3/atom: 16.67



Computed, not measured: Pu6SN5 after structural relaxation at the PBE level of DFT.

```
Pu6SN5
1.0
-5.671 -2.470 0.103
-0.492 -4.274 -4.446
1.455 -5.901 1.206
N Pu S
5 6 1
Cartesian
-2.784 -6.712 -3.298
0.328 -3.406 -1.067
0.635 -6.768 -2.173
-3.082 -3.372 -2.172
-1.924 -5.932 0.161
-1.208 -5.112 -2.009
-1.653 -1.791 -1.146
-3.500 -7.532 -1.128
-0.968 -8.324 -3.253
-4.510 -4.952 -3.198
-3.740 -4.321 0.116
0.000 0.000 0.000
```

Calculated values
Raw formation energy, eV per formula unit: -15.3
Total magnetic moment, μB per formula unit: 29.903
Uncorrected energy, eV per cell: -147.01
Crystal system: monoclinic
Volume, A^3/atom: 16.12